Material: KPrZr4O12
Method: DFT, PBE
State: relaxed

a = 8.3543 Å, b = 5.8600 Å, c = 5.8600 Å
α = 89.90°, β = 90.00°, γ = 90.00°
Atoms (fractional coordinates):
K: 0.0000 0.0000 0.0000
Pr: 0.5000 0.4890 0.4890
Zr: 0.2448 0.4963 0.9881
Zr: 0.2448 0.9881 0.4963
Zr: 0.7552 0.4963 0.9881
Zr: 0.7552 0.9881 0.4963
O: 0.0000 0.5193 0.9779
O: 0.0000 0.9779 0.5193
O: 0.2351 0.2287 0.2287
O: 0.2859 0.2598 0.7226
O: 0.2859 0.7226 0.2598
O: 0.3074 0.7268 0.7268
O: 0.5000 0.0688 0.4545
O: 0.5000 0.4545 0.0688
O: 0.6926 0.7268 0.7268
O: 0.7141 0.2598 0.7226
O: 0.7141 0.7226 0.2598
O: 0.7649 0.2287 0.2287

Output
The value obtained for the size of the total moment is 4.0 μB per cell. As for the symmetry: Amm2, No. 38.

***

Material: AcAgSb4
Method: DFT, PBE
State: relaxed

a = 6.3237 Å, b = 6.3237 Å, c = 6.3237 Å
α = 60.00°, β = 60.00°, γ = 60.00°
Atoms (fractional coordinates):
Ac: 0.0000 0.0000 0.0000
Ag: 0.2500 0.2500 0.2500
Sb: 0.1318 0.6227 0.6227
Sb: 0.6227 0.1318 0.6227
Sb: 0.6227 0.6227 0.1318
Sb: 0.6227 0.6227 0.6227

Output
The value obtained for the size of the total moment is 0.0 μB per cell. As for the symmetry: F-43m, No. 216.

***

Volume? In order: 15.94 29.80 Å³ per atom.
Electronic total energy? In order: -8.104 -4.005 eV/atom.
Raw formation energy? In order: -2.5721 -0.0972 eV per atom.